Computed, not measured: a geometry-optimized SrAlMo2O8 structure at the PBE+U level of DFT.

Calculated values
- Volume: 15.53 A^3/atom
- E: -7.011 eV per atom

a b c (Å): 5.6738 5.6738 6.6861
angles (deg): 90.00 90.00 120.00
With the nearest neighbours (Å) after each atom.
Space group P-3m1 (No. 164)
Inequivalent atoms, fractional coordinates:
Sr: 0.0000 0.0000 0.0000 [1 per cell]  6 O 2.65
Al: 0.0000 0.0000 0.5000 [1 per cell]  6 O 1.90
Mo: 0.3333 0.6667 0.2508 [2 per cell]  4 O 1.78-1.84
O: 0.1530 0.3060 0.3257 [6 per cell]  1 Mo 1.84, 1 Al 1.90
O: 0.3333 0.6667 0.9842 [2 per cell]  1 Mo 1.78